# 1
8
Lattice="-4.756 1.410 0.462 -1.429 -4.770 -0.155 -2.802 -1.884 3.763" Properties=species:S:1:pos:R:3 comment="KBN2, relaxed, DFT PBE-GGA" e_form_raw_ev_per_atom=0.052 magnetic_moment_mub_per_cell=0.00 dos_ef_per_ev_cell=4.7 pbc="T T T"
K 0.000 0.000 0.000
K -5.325 -1.077 2.190
B -3.092 -1.680 0.154
B -3.662 -4.167 1.881
N -2.662 -0.539 1.095
N -3.377 -2.923 1.018
N -4.778 -3.866 2.899
N -7.156 -3.160 3.130

***

# 2
4
Lattice="1.515 -2.511 3.916 -3.254 -1.632 3.269 -0.930 -4.791 0.344" Properties=species:S:1:pos:R:3 comment="K2BN, relaxed, DFT PBE-GGA" e_form_raw_ev_per_atom=1.679 magnetic_moment_mub_per_cell=0.00 dos_ef_per_ev_cell=0.0 pbc="T T T"
K -0.667 -2.234 1.882
K -2.002 -6.701 5.647
B 0.000 0.000 0.000
N -1.335 -4.467 3.764

***

# 3
14
Lattice="4.750 0.000 0.000 0.000 4.750 0.000 0.000 0.000 4.750" Properties=species:S:1:pos:R:3 comment="KB3N3, relaxed, DFT PBE-GGA" e_form_raw_ev_per_atom=0.029 magnetic_moment_mub_per_cell=0.00 dos_ef_per_ev_cell=4.0 pbc="T T T"
K 2.375 2.375 2.375
K 0.000 0.000 0.000
B 1.187 0.000 2.375
B 0.000 2.375 1.187
B 2.375 3.562 0.000
B 3.562 0.000 2.375
B 0.000 2.375 3.562
B 2.375 1.187 0.000
N 0.000 1.187 2.375
N 0.000 3.562 2.375
N 2.375 0.000 3.562
N 3.562 2.375 0.000
N 2.375 0.000 1.187
N 1.187 2.375 0.000